<P>
# IrPdPt3 | Alexandria | GGA-PBE | optimized geometry
# Magnetic moment (μB/f.u.): 0.00
# Fermi-level density of states (states/eV/atom): 1.67
data_IrPdPt3
_chemical_formula_sum 'Ir2 Pd2 Pt6'
_symmetry_space_group_name_H-M 'P 1'
_symmetry_Int_Tables_number 1
_symmetry_space_group_name_Hall 'P 1'
_cell_length_a 4.820
_cell_length_b 6.233
_cell_length_c 7.365
_cell_angle_alpha 114.94
_cell_angle_beta 77.47
_cell_angle_gamma 129.99
loop_
_atom_site_label
_atom_site_type_symbol
_atom_site_fract_x
_atom_site_fract_y
_atom_site_fract_z
Ir1 Ir 0.346 0.704 0.454
Ir2 Ir 0.654 0.296 0.546
Pt1 Pt 0.553 0.100 0.847
Pt2 Pt 0.743 0.497 0.252
Pt3 Pt 0.954 0.898 0.647
Pt4 Pt 0.447 0.900 0.153
Pt5 Pt 0.257 0.503 0.748
Pt6 Pt 0.046 0.102 0.353
Pd1 Pd 0.150 0.303 0.053
Pd2 Pd 0.850 0.697 0.947

<Q>
# IrPdPt3 | Alexandria | GGA-PBE | optimized geometry
# Magnetic moment (μB/f.u.): 0.00
# Fermi-level density of states (states/eV/atom): 1.68
data_IrPdPt3
_chemical_formula_sum 'Ir1 Pd1 Pt3'
_symmetry_space_group_name_H-M 'P 1'
_symmetry_Int_Tables_number 1
_symmetry_space_group_name_Hall 'P 1'
_cell_length_a 4.805
_cell_length_b 4.805
_cell_length_c 4.805
_cell_angle_alpha 90.00
_cell_angle_beta 90.00
_cell_angle_gamma 90.00
loop_
_atom_site_label
_atom_site_type_symbol
_atom_site_fract_x
_atom_site_fract_y
_atom_site_fract_z
Pd1 Pd 0.500 0.500 0.500
Pt1 Pt 0.000 0.500 0.000
Pt2 Pt 0.000 0.000 0.500
Pt3 Pt 0.500 0.000 0.000
Ir1 Ir 0.000 0.000 0.000

The winner here is <P>, beating the second structure by 1395 meV/atom.

<P>
# Ir2PdPt2 | Alexandria | GGA-PBE | optimized geometry
# Magnetic moment (μB/f.u.): 0.00
# Fermi-level density of states (states/eV/atom): 1.80
data_Ir2PdPt2
_chemical_formula_sum 'Ir4 Pd2 Pt4'
_symmetry_space_group_name_H-M 'P 1'
_symmetry_Int_Tables_number 1
_symmetry_space_group_name_Hall 'P 1'
_cell_length_a 7.667
_cell_length_b 7.667
_cell_length_c 2.761
_cell_angle_alpha 90.00
_cell_angle_beta 90.00
_cell_angle_gamma 90.00
loop_
_atom_site_label
_atom_site_type_symbol
_atom_site_fract_x
_atom_site_fract_y
_atom_site_fract_z
Pt1 Pt 0.177 0.677 0.500
Pt2 Pt 0.823 0.323 0.500
Pt3 Pt 0.323 0.177 0.500
Pt4 Pt 0.677 0.823 0.500
Ir1 Ir 0.879 0.621 0.000
Ir2 Ir 0.621 0.121 0.000
Ir3 Ir 0.379 0.879 0.000
Ir4 Ir 0.121 0.379 0.000
Pd1 Pd 0.500 0.500 0.000
Pd2 Pd 0.000 0.000 0.000

<Q>
# Ir2PdPt2 | Alexandria | GGA-PBE | optimized geometry
# Magnetic moment (μB/f.u.): 0.00
# Fermi-level density of states (states/eV/atom): 1.88
data_Ir2PdPt2
_chemical_formula_sum 'Ir4 Pd2 Pt4'
_symmetry_space_group_name_H-M 'P 1'
_symmetry_Int_Tables_number 1
_symmetry_space_group_name_Hall 'P 1'
_cell_length_a 7.652
_cell_length_b 7.652
_cell_length_c 2.771
_cell_angle_alpha 90.00
_cell_angle_beta 90.00
_cell_angle_gamma 90.00
loop_
_atom_site_label
_atom_site_type_symbol
_atom_site_fract_x
_atom_site_fract_y
_atom_site_fract_z
Ir1 Ir 0.827 0.327 0.500
Ir2 Ir 0.673 0.827 0.500
Ir3 Ir 0.327 0.173 0.500
Ir4 Ir 0.173 0.673 0.500
Pd1 Pd 0.000 0.000 0.000
Pd2 Pd 0.500 0.500 0.000
Pt1 Pt 0.126 0.374 0.000
Pt2 Pt 0.874 0.626 0.000
Pt3 Pt 0.374 0.874 0.000
Pt4 Pt 0.626 0.126 0.000

The winner here is <P>, beating the second structure by 72 meV/atom.